(1)
Computed, not measured: Mn2SiS4 after structural relaxation at the PBEsol level of DFT.

Cell lengths 5.8686, 7.3038, 12.4798 Å; angles 90.00, 90.00, 90.00 degrees
Last column: nearest neighbours and their distance in Å.
Fractional coordinates of all 28 atoms:
Mn (0.9898, 0.2500, 0.7319)  6 S 2.51-2.59
Mn (0.4898, 0.7500, 0.7681)  6 S 2.51-2.59
Mn (0.0102, 0.7500, 0.2681)  6 S 2.51-2.59
Mn (0.5102, 0.2500, 0.2319)  6 S 2.51-2.59
Mn (0.5000, 0.5000, 0.5000)  6 S 2.53-2.57
Mn (0.0000, 0.5000, 0.0000)  6 S 2.53-2.57
Mn (0.5000, 0.0000, 0.5000)  6 S 2.53-2.57
Mn (0.0000, 0.0000, 0.0000)  6 S 2.53-2.57
Si (0.5925, 0.7500, 0.0893)  4 S 2.12-2.15
Si (0.4075, 0.2500, 0.9107)  4 S 2.12-2.15
Si (0.9075, 0.7500, 0.5893)  4 S 2.12-2.15
Si (0.0925, 0.2500, 0.4107)  4 S 2.12-2.15
S (0.2515, 0.4793, 0.8320)  1 Si 2.15
S (0.7515, 0.5207, 0.6680)  1 Si 2.15
S (0.7485, 0.9793, 0.1680)  1 Si 2.15
S (0.2485, 0.0207, 0.3320)  1 Si 2.15
S (0.7515, 0.9793, 0.6680)  1 Si 2.15
S (0.7485, 0.5207, 0.1680)  1 Si 2.15
S (0.2515, 0.0207, 0.8320)  1 Si 2.15
S (0.2485, 0.4793, 0.3320)  1 Si 2.15
S (0.7320, 0.2500, 0.4081)  1 Si 2.12
S (0.2320, 0.7500, 0.0919)  1 Si 2.12
S (0.2680, 0.7500, 0.5919)  1 Si 2.12
S (0.7680, 0.2500, 0.9081)  1 Si 2.12
S (0.2390, 0.2500, 0.5684)  1 Si 2.15
S (0.7390, 0.7500, 0.9316)  1 Si 2.15
S (0.7610, 0.7500, 0.4316)  1 Si 2.15
S (0.2610, 0.2500, 0.0684)  1 Si 2.15

Crystal system: orthorhombic
Total magnetic moment in μB per atom: 1.424
Density in Mg/m³: 3.31
ΔE_f (raw) in eV/atom: -0.517
Energy in eV per formula unit: -46.42

---

(2)
Computed, not measured: Y6MnSi2S14 after structural relaxation at the PBEsol level of DFT.

Cell lengths 5.5684, 9.7430, 9.7430 Å; angles 120.00, 90.00, 90.00 degrees
Last column: nearest neighbours and their distance in Å.
Fractional coordinates of all 23 atoms:
Y (0.7497, 0.1281, 0.3577)  7 S 2.72-2.92
Y (0.7497, 0.2296, 0.8719)  7 S 2.72-2.92
Y (0.7497, 0.6423, 0.7704)  7 S 2.72-2.92
Y (0.2452, 0.8717, 0.6430)  8 S 2.70-3.01
Y (0.2452, 0.7712, 0.1283)  8 S 2.70-3.01
Y (0.2452, 0.3570, 0.2288)  8 S 2.70-3.01
Mn (0.5163, 0.0000, 0.0000)  6 S 2.52-2.54
Si (0.1656, 0.3333, 0.6667)  4 S 2.09-2.14
Si (0.6590, 0.6667, 0.3333)  4 S 2.10-2.14
S (0.5416, 0.3333, 0.6667)  1 Si 2.09
S (0.0356, 0.6667, 0.3333)  1 Si 2.10
S (0.2774, 0.0914, 0.2500)  1 Mn 2.52, 3 Y 2.70-2.79
S (0.2774, 0.1586, 0.9086)  1 Mn 2.52, 3 Y 2.70-2.79
S (0.2774, 0.7500, 0.8414)  1 Mn 2.52, 3 Y 2.70-2.79
S (0.7611, 0.9107, 0.7498)  1 Mn 2.54, 2 Y 2.72
S (0.7611, 0.8392, 0.0893)  1 Mn 2.54, 2 Y 2.72
S (0.7611, 0.2502, 0.1608)  1 Mn 2.54, 2 Y 2.72
S (0.0136, 0.4157, 0.5193)  1 Si 2.14
S (0.0136, 0.1036, 0.5843)  1 Si 2.14
S (0.0136, 0.4807, 0.8964)  1 Si 2.14
S (0.5085, 0.5840, 0.4805)  1 Si 2.14
S (0.5085, 0.8965, 0.4160)  1 Si 2.14
S (0.5085, 0.5195, 0.1035)  1 Si 2.14

Crystal system: trigonal
Total magnetic moment in μB per atom: 0.217
Density in Mg/m³: 3.97
ΔE_f (raw) in eV/atom: -1.655
Energy in eV per formula unit: -161.62

---

(3)
Computed, not measured: MnSnS2 after structural relaxation at the PBEsol level of DFT.

Cell lengths 3.2746, 3.2746, 8.3617 Å; angles 78.71, 78.71, 60.00 degrees
Last column: nearest neighbours and their distance in Å.
Fractional coordinates of all 4 atoms:
S (0.8860, 0.8860, 0.3419)  3 Mn 2.29
S (0.1140, 0.1140, 0.6581)  3 Mn 2.29
Mn (0.5000, 0.5000, 0.5000)  6 S 2.29
Sn (0.0000, 0.0000, 0.0000)  2 S 2.78

Crystal system: trigonal
Total magnetic moment in μB per atom: 0.578
Density in Mg/m³: 5.22
ΔE_f (raw) in eV/atom: -0.488
Energy in eV per formula unit: -24.74

---

(4)
Computed, not measured: MnSnS3 after structural relaxation at the PBEsol level of DFT.

Cell lengths 4.8910, 4.8910, 4.8910 Å; angles 90.00, 90.00, 90.00 degrees
Last column: nearest neighbours and their distance in Å.
Fractional coordinates of all 5 atoms:
S (0.0000, 0.5000, 0.0000)  2 Sn 2.45
S (0.0000, 0.0000, 0.5000)  2 Sn 2.45
S (0.5000, 0.0000, 0.0000)  2 Sn 2.45
Mn (0.5000, 0.5000, 0.5000)  12 S 3.46
Sn (0.0000, 0.0000, 0.0000)  6 S 2.45

Crystal system: cubic
Total magnetic moment in μB per atom: 0.998
Density in Mg/m³: 3.83
ΔE_f (raw) in eV/atom: 0.516
Energy in eV per formula unit: -24.59

---

(5)
Computed, not measured: SrMn3S after structural relaxation at the PBEsol level of DFT.

Cell lengths 4.4711, 4.4711, 4.4711 Å; angles 90.00, 90.00, 90.00 degrees
Last column: nearest neighbours and their distance in Å.
Fractional coordinates of all 5 atoms:
Sr (0.5000, 0.5000, 0.5000)  12 Mn 3.16
S (0.0000, 0.0000, 0.0000)  6 Mn 2.24
Mn (0.0000, 0.5000, 0.0000)  2 S 2.24
Mn (0.0000, 0.0000, 0.5000)  2 S 2.24
Mn (0.5000, 0.0000, 0.0000)  2 S 2.24

Crystal system: cubic
Total magnetic moment in μB per atom: 1.824
Density in Mg/m³: 5.29
ΔE_f (raw) in eV/atom: 0.254
Energy in eV per formula unit: -34.24

---

(6)
Computed, not measured: Ta4MnS8 after structural relaxation at the PBEsol level of DFT.

Cell lengths 6.5849, 6.5849, 11.9506 Å; angles 90.00, 90.00, 120.00 degrees
Last column: nearest neighbours and their distance in Å.
Fractional coordinates of all 26 atoms:
Ta (0.5062, 0.4938, 0.7500)  6 S 2.44-2.47
Ta (0.4938, 0.9876, 0.2500)  6 S 2.44-2.47
Ta (0.0124, 0.5062, 0.2500)  6 S 2.44-2.47
Ta (0.9876, 0.4938, 0.7500)  6 S 2.44-2.47
Ta (0.5062, 0.0124, 0.7500)  6 S 2.44-2.47
Ta (0.4938, 0.5062, 0.2500)  6 S 2.44-2.47
Ta (0.0000, 0.0000, 0.7500)  6 S 2.47
Ta (0.0000, 0.0000, 0.2500)  6 S 2.47
Mn (0.0000, 0.0000, 0.0000)  6 S 2.40
Mn (0.0000, 0.0000, 0.5000)  6 S 2.40
S (0.8315, 0.1685, 0.1202)  1 Mn 2.40, 3 Ta 2.47
S (0.3370, 0.1685, 0.1202)  1 Mn 2.40, 3 Ta 2.47
S (0.8315, 0.6630, 0.1202)  1 Mn 2.40, 3 Ta 2.47
S (0.1685, 0.3370, 0.6202)  1 Mn 2.40, 3 Ta 2.47
S (0.6630, 0.8315, 0.8798)  1 Mn 2.40, 3 Ta 2.47
S (0.1685, 0.8315, 0.6202)  1 Mn 2.40, 3 Ta 2.47
S (0.6630, 0.8315, 0.6202)  1 Mn 2.40, 3 Ta 2.47
S (0.8315, 0.1685, 0.3798)  1 Mn 2.40, 3 Ta 2.47
S (0.8315, 0.6630, 0.3798)  1 Mn 2.40, 3 Ta 2.47
S (0.1685, 0.3370, 0.8798)  1 Mn 2.40, 3 Ta 2.47
S (0.3333, 0.6667, 0.3848)  3 Ta 2.44
S (0.6667, 0.3333, 0.8848)  3 Ta 2.44
S (0.6667, 0.3333, 0.6152)  3 Ta 2.44
S (0.3333, 0.6667, 0.1152)  3 Ta 2.44
S (0.3370, 0.1685, 0.3798)  1 Mn 2.40, 3 Ta 2.47
S (0.1685, 0.8315, 0.8798)  1 Mn 2.40, 3 Ta 2.47

Crystal system: hexagonal
Total magnetic moment in μB per atom: 0.271
Density in Mg/m³: 7.66
ΔE_f (raw) in eV/atom: -1.131
Energy in eV per formula unit: -109.75

---

(7)
Computed, not measured: TaMn3S after structural relaxation at the PBEsol level of DFT.

Cell lengths 4.6186, 4.6186, 4.6186 Å; angles 90.00, 90.00, 90.00 degrees
Last column: nearest neighbours and their distance in Å.
Fractional coordinates of all 5 atoms:
S (0.5000, 0.5000, 0.5000)  12 Mn 3.27
Mn (0.0000, 0.5000, 0.0000)  2 Ta 2.31
Mn (0.0000, 0.0000, 0.5000)  2 Ta 2.31
Mn (0.5000, 0.0000, 0.0000)  2 Ta 2.31
Ta (0.0000, 0.0000, 0.0000)  6 Mn 2.31

Crystal system: cubic
Total magnetic moment in μB per atom: 1.690
Density in Mg/m³: 6.37
ΔE_f (raw) in eV/atom: 1.645
Energy in eV per formula unit: -37.99

---

(8)
Computed, not measured: Ti2MnS2 after structural relaxation at the PBEsol level of DFT.

Cell lengths 4.6771, 4.8708, 4.6771 Å; angles 61.31, 90.00, 118.69 degrees
Last column: nearest neighbours and their distance in Å.
Fractional coordinates of all 5 atoms:
S (0.6916, 0.3832, 0.3084)  1 Mn 2.21, 4 Ti 2.38
S (0.3084, 0.6168, 0.6916)  1 Mn 2.21, 4 Ti 2.38
Mn (0.0000, 0.0000, 0.0000)  2 S 2.21
Ti (0.7500, 0.5000, 0.7500)  4 S 2.38
Ti (0.2500, 0.5000, 0.2500)  4 S 2.38

Crystal system: tetragonal
Total magnetic moment in μB per atom: 0.451
Density in Mg/m³: 4.56
ΔE_f (raw) in eV/atom: -0.637
Energy in eV per formula unit: -38.36

---

(9)
Computed, not measured: Ti4MnS8 after structural relaxation at the PBEsol level of DFT.

Cell lengths 3.3431, 3.3431, 22.7643 Å; angles 90.00, 90.00, 120.00 degrees
Last column: nearest neighbours and their distance in Å.
Fractional coordinates of all 13 atoms:
Ti (0.0000, 0.0000, 0.3696)  6 S 2.38-2.48
Ti (0.0000, 0.0000, 0.6304)  6 S 2.38-2.48
Ti (0.0000, 0.0000, 0.8762)  6 S 2.40
Ti (0.0000, 0.0000, 0.1238)  6 S 2.40
Mn (0.0000, 0.0000, 0.5000)  6 S 2.39
S (0.6667, 0.3333, 0.4378)  3 Mn 2.39, 3 Ti 2.48
S (0.6667, 0.3333, 0.6919)  3 Ti 2.38
S (0.6667, 0.3333, 0.9389)  3 Ti 2.40
S (0.6667, 0.3333, 0.1868)  3 Ti 2.40
S (0.3333, 0.6667, 0.5622)  3 Mn 2.39, 3 Ti 2.48
S (0.3333, 0.6667, 0.8132)  3 Ti 2.40
S (0.3333, 0.6667, 0.0611)  3 Ti 2.40
S (0.3333, 0.6667, 0.3081)  3 Ti 2.38

Crystal system: trigonal
Total magnetic moment in μB per atom: 0.250
Density in Mg/m³: 3.79
ΔE_f (raw) in eV/atom: -1.250
Energy in eV per formula unit: -94.37

---

(10)
Computed, not measured: Ti5MnS10 after structural relaxation at the PBEsol level of DFT.

Cell lengths 3.3440, 3.3440, 28.3992 Å; angles 90.00, 90.00, 120.00 degrees
Last column: nearest neighbours and their distance in Å.
Fractional coordinates of all 16 atoms:
Ti (0.0000, 0.0000, 0.3955)  6 S 2.38-2.48
Ti (0.0000, 0.0000, 0.6045)  6 S 2.38-2.48
Ti (0.0000, 0.0000, 0.8016)  6 S 2.40
Ti (0.0000, 0.0000, 0.0000)  6 S 2.40
Ti (0.0000, 0.0000, 0.1984)  6 S 2.40
Mn (0.0000, 0.0000, 0.5000)  6 S 2.39
S (0.6667, 0.3333, 0.4502)  3 Mn 2.39, 3 Ti 2.48
S (0.6667, 0.3333, 0.6537)  3 Ti 2.38
S (0.6667, 0.3333, 0.8518)  3 Ti 2.40
S (0.6667, 0.3333, 0.0503)  3 Ti 2.40
S (0.6667, 0.3333, 0.2489)  3 Ti 2.40
S (0.3333, 0.6667, 0.5498)  3 Mn 2.39, 3 Ti 2.48
S (0.3333, 0.6667, 0.7511)  3 Ti 2.40
S (0.3333, 0.6667, 0.9497)  3 Ti 2.40
S (0.3333, 0.6667, 0.1482)  3 Ti 2.40
S (0.3333, 0.6667, 0.3463)  3 Ti 2.38

Crystal system: trigonal
Total magnetic moment in μB per atom: 0.204
Density in Mg/m³: 3.71
ΔE_f (raw) in eV/atom: -1.265
Energy in eV per formula unit: -115.45

---

(11)
Computed, not measured: MnTlS2 after structural relaxation at the PBEsol level of DFT.

Cell lengths 6.1363, 6.1363, 6.1363 Å; angles 106.67, 110.89, 110.89 degrees
Last column: nearest neighbours and their distance in Å.
Fractional coordinates of all 8 atoms:
Tl (0.5000, 0.7500, 0.2500)  4 S 3.07
Tl (0.0000, 0.0000, 0.0000)  4 S 3.07
Mn (0.5000, 0.2500, 0.7500)  4 S 2.26
Mn (0.0000, 0.5000, 0.5000)  4 S 2.26
S (0.9114, 0.5364, 0.1250)  2 Mn 2.26
S (0.0886, 0.2136, 0.6250)  2 Mn 2.26
S (0.4114, 0.8750, 0.7864)  2 Mn 2.26
S (0.5886, 0.3750, 0.4636)  2 Mn 2.26

Crystal system: tetragonal
Total magnetic moment in μB per atom: 1.001
Density in Mg/m³: 6.05
ΔE_f (raw) in eV/atom: -0.347
Energy in eV per formula unit: -22.55

---

(12)
Computed, not measured: MnTlS3 after structural relaxation at the PBEsol level of DFT.

Cell lengths 4.5694, 4.5694, 4.5694 Å; angles 90.00, 90.00, 90.00 degrees
Last column: nearest neighbours and their distance in Å.
Fractional coordinates of all 5 atoms:
Tl (0.5000, 0.5000, 0.5000)  12 S 3.23
Mn (0.0000, 0.0000, 0.0000)  6 S 2.28
S (0.0000, 0.5000, 0.0000)  2 Mn 2.28
S (0.0000, 0.0000, 0.5000)  2 Mn 2.28
S (0.5000, 0.0000, 0.0000)  2 Mn 2.28

Crystal system: cubic
Total magnetic moment in μB per atom: 0.602
Density in Mg/m³: 6.19
ΔE_f (raw) in eV/atom: -0.088
Energy in eV per formula unit: -25.98